[1]
# Na3Hg2BiO6

Crystalline Na3Hg2BiO6 at its relaxed geometry (PBE, Alexandria).

Results
Volume in A^3/atom: 14.34
Formation energy (no corrections) in eV/atom: -0.997
Fermi-level density of states in states/eV per cell: 3.775
Size of the total moment in μB/f.u.: 0.0

The structure in POSCAR format:
```
Na3Hg2BiO6
1.0
-4.5700 1.4689 -3.5130
3.4434 -4.5848 -1.5831
-2.8670 -2.2925 4.7137
Na O Bi Hg
3 6 1 2
Cartesian
-1.9968 -2.7042 -0.1912
-4.6357 -0.7107 -0.8267
0.6421 -4.6977 0.4443
0.2842 -2.1340 0.2831
-2.1281 -0.3116 -0.2978
-4.2778 -3.2744 -0.6655
-1.4719 -2.8889 -2.9503
-2.5217 -2.5195 2.5679
-1.8655 -5.0968 -0.0846
0.0000 0.0000 0.0000
0.7850 -2.5765 -2.2234
-1.9116 -0.5394 -2.8728
```

***

[2]
# Na2Hg2BiO6

Crystalline Na2Hg2BiO6 at its relaxed geometry (PBE, Alexandria).

Results
Volume in A^3/atom: 16.37
Formation energy (no corrections) in eV/atom: -0.767
Fermi-level density of states in states/eV per cell: 7.932
Size of the total moment in μB/f.u.: 0.8

The structure in POSCAR format:
```
Na2Hg2BiO6
1.0
-3.1344 4.8969 -1.5467
-2.1462 -3.3377 4.5222
4.3070 2.6464 2.8895
O Hg Na Bi
6 2 2 1
Cartesian
0.0678 1.1990 1.6158
-1.0415 3.0066 4.2492
2.1221 3.5232 1.6554
2.4378 0.8928 3.5940
-3.0958 0.6824 4.2095
-3.4115 3.3128 2.2710
-2.9719 3.5422 -0.5483
-2.3088 -1.9831 3.5238
-0.3297 0.7935 3.8974
-0.6440 3.4120 1.9676
2.1535 1.3232 1.4448
```

***

[3]
# Na2HgBiO

Crystalline Na2HgBiO at its relaxed geometry (PBE, Alexandria).

Results
Volume in A^3/atom: 21.75
Formation energy (no corrections) in eV/atom: -0.640
Fermi-level density of states in states/eV per cell: 2.437
Size of the total moment in μB/f.u.: 0.0

The structure in POSCAR format:
```
Na2HgBiO
1.0
-3.3665 2.0766 2.5128
-0.7778 -4.0196 2.2798
3.3456 1.2901 3.4161
Bi O Na Hg
1 1 2 1
Cartesian
1.6728 0.6450 1.7080
0.0000 0.0000 0.0000
-1.6832 1.0383 1.2564
-0.3889 -2.0098 1.1399
-0.3993 -0.3265 4.1043
```

***

[4]
# Na2HgBiO4

Crystalline Na2HgBiO4 at its relaxed geometry (PBE, Alexandria).

Results
Volume in A^3/atom: 14.78
Formation energy (no corrections) in eV/atom: -1.044
Fermi-level density of states in states/eV per cell: 2.666
Size of the total moment in μB/f.u.: 0.0

The structure in POSCAR format:
```
Na2HgBiO4
1.0
-2.2414 -1.5829 -2.0867
4.6000 -3.2501 -2.4755
-2.4428 -2.7880 4.7386
Na O Bi Hg
2 4 1 1
Cartesian
1.0786 -3.0191 1.1315
-2.3421 -2.1854 1.3259
-0.4203 -2.2464 -0.6920
2.7223 -2.9808 -0.6630
-0.5651 -3.0574 2.9261
0.3362 -5.3746 0.8683
1.1793 -2.4165 -2.2811
0.0000 0.0000 0.0000
```

***

[5]
# NaHgBiPb3

Crystalline NaHgBiPb3 at its relaxed geometry (PBE, Alexandria).

Results
Volume in A^3/atom: 29.57
Final energy in eV per formula unit: -17.1
Fermi-level density of states in states/eV per cell: 5.866
Size of the total moment in μB/f.u.: 0.0

The structure in POSCAR format:
```
NaHgBiPb3
1.0
-1.9753 1.2215 3.9836
1.1831 -7.9692 0.3614
8.9946 1.5165 3.9950
Pb Na Bi Hg
6 2 2 2
Cartesian
3.5046 -1.0435 4.7265
-0.8550 -1.7786 2.7902
4.6978 -4.1877 3.6135
1.3902 -3.8737 4.5459
9.0574 -3.4527 5.5499
6.8122 -1.3575 3.7941
1.2622 0.9446 3.0050
6.9402 -6.1759 5.3350
4.4973 0.7583 1.9975
0.0000 0.0000 0.0000
2.3117 -1.9950 1.7580
5.8907 -3.2362 6.5820
```

***

[6]
# Na4HgBi2Pb2

Crystalline Na4HgBi2Pb2 at its relaxed geometry (PBE, Alexandria).

Results
Volume in A^3/atom: 31.81
Final energy in eV per formula unit: -22.4
Fermi-level density of states in states/eV per cell: 3.748
Size of the total moment in μB/f.u.: 0.0

The structure in POSCAR format:
```
Na4HgBi2Pb2
1.0
-3.1067 -5.6207 -0.9488
7.2300 -5.2932 1.1438
-3.8434 5.6890 4.5739
Bi Na Pb Hg
2 4 2 1
Cartesian
-2.4922 -2.2120 1.8229
2.7721 -3.0129 2.9460
-0.0869 -2.0648 4.1838
0.3667 -3.1601 0.5851
1.8383 -6.1901 2.2531
-1.5585 0.9652 2.5158
-0.1513 -6.3914 -0.3866
0.4312 1.1665 5.1555
0.0000 0.0000 0.0000
```

***

[7]
# Na2HgBi2Pb2

Crystalline Na2HgBi2Pb2 at its relaxed geometry (PBE, Alexandria).

Results
Volume in A^3/atom: 31.97
Final energy in eV per formula unit: -18.7
Fermi-level density of states in states/eV per cell: 2.691
Size of the total moment in μB/f.u.: 0.0

The structure in POSCAR format:
```
Na2HgBi2Pb2
1.0
-1.2691 0.7849 3.1403
-9.6849 -10.5510 -3.2016
7.1979 1.4521 2.5460
Na Bi Hg Pb
2 2 1 2
Cartesian
0.8191 -0.5584 2.3953
-4.5752 -7.7556 0.0894
-1.7347 -6.4133 0.9019
-2.0214 -1.9007 1.5828
3.5989 0.7261 1.2730
-4.2133 -4.2662 1.2882
0.4572 -4.0478 1.1965
```

***

[8]
# Na2HgBiPb

Crystalline Na2HgBiPb at its relaxed geometry (PBE, Alexandria).

Results
Volume in A^3/atom: 28.43
Final energy in eV per formula unit: -11.6
Fermi-level density of states in states/eV per cell: 3.827
Size of the total moment in μB/f.u.: 0.0

The structure in POSCAR format:
```
Na2HgBiPb
1.0
4.7587 0.0000 0.0000
0.0000 7.5565 1.3077
0.0000 -1.7766 7.5992
Na Bi Pb Hg
4 2 2 2
Cartesian
3.5690 3.3861 8.1416
1.1897 0.2499 3.6687
3.5690 5.5300 5.2383
1.1897 2.3938 0.7654
1.1897 5.2464 2.8577
3.5690 0.5336 6.0492
1.1897 3.0332 5.6012
3.5690 2.7468 3.3058
1.1897 5.6764 7.6047
3.5690 0.1035 1.3022
```

***

[9]
# NaHg2BiPb2

Crystalline NaHg2BiPb2 at its relaxed geometry (PBE, Alexandria).

Results
Volume in A^3/atom: 29.08
Final energy in eV per formula unit: -13.7
Fermi-level density of states in states/eV per cell: 3.040
Size of the total moment in μB/f.u.: 0.0

The structure in POSCAR format:
```
NaHg2BiPb2
1.0
-0.0036 -1.8960 4.1420
5.4236 -4.3675 -1.9945
7.0109 7.1986 3.3011
Pb Hg Bi Na
4 4 2 2
Cartesian
10.4801 2.1070 0.9735
3.3182 -3.6154 0.8528
7.6106 5.7601 5.1481
3.2660 -0.3322 -0.1492
3.2611 1.0683 2.9968
6.1507 -2.6616 -1.2130
7.9483 4.1523 1.9075
7.9142 0.8779 2.9136
5.6534 -1.4958 1.8251
5.5791 3.3959 4.0642
8.2544 -0.3274 -0.1428
5.6544 1.9712 0.9072
```

***

[10]
# NaHg2BiPb

Crystalline NaHg2BiPb at its relaxed geometry (PBE, Alexandria).

Results
Volume in A^3/atom: 31.13
Final energy in eV per formula unit: -9.8
Fermi-level density of states in states/eV per cell: 3.690
Size of the total moment in μB/f.u.: 0.0

The structure in POSCAR format:
```
NaHg2BiPb
1.0
5.9121 0.0000 0.0000
0.0000 5.8726 0.0000
0.0000 -2.9363 8.9674
Hg Na Pb Bi
4 2 2 2
Cartesian
2.9561 1.4667 0.0000
2.9561 4.4060 0.0000
0.0000 4.4060 0.0000
0.0000 1.4667 0.0000
1.4780 2.9363 2.6065
4.4341 0.0000 6.3609
4.4341 0.0000 2.8556
1.4780 2.9363 6.1118
1.4780 0.0000 4.4729
4.4341 2.9363 4.4945
```

***

[11]
# Na2Hg2Bi2Pb

Crystalline Na2Hg2Bi2Pb at its relaxed geometry (PBE, Alexandria).

Results
Volume in A^3/atom: 28.66
Final energy in eV per formula unit: -15.9
Fermi-level density of states in states/eV per cell: 1.789
Size of the total moment in μB/f.u.: 0.0

The structure in POSCAR format:
```
Na2Hg2Bi2Pb
1.0
5.1950 0.0000 0.0000
2.5975 4.4990 0.0000
2.5975 1.4997 8.5833
Hg Bi Na Pb
2 2 2 1
Cartesian
5.1950 2.9993 5.8536
5.1950 2.9993 2.7298
7.7925 4.4990 6.9223
2.5975 1.4997 1.6610
2.5975 1.4997 5.0574
7.7925 4.4990 3.5259
0.0000 0.0000 0.0000
```

***

[12]
# NaHgBiPd2

Crystalline NaHgBiPd2 at its relaxed geometry (PBE, Alexandria).

Results
Volume in A^3/atom: 26.23
Final energy in eV per formula unit: -14.0
Fermi-level density of states in states/eV per cell: 2.683
Size of the total moment in μB/f.u.: 0.0

The structure in POSCAR format:
```
NaHgBiPd2
1.0
5.1129 0.0000 0.0000
0.0000 5.0178 0.0000
0.0000 0.0000 5.1129
Bi Na Pd Hg
1 1 2 1
Cartesian
2.5564 2.5089 2.5564
0.0000 2.5089 0.0000
0.0000 0.0000 2.5564
2.5564 0.0000 0.0000
0.0000 0.0000 0.0000
```